Computed, not measured: Li2YHg at its PBEsol-relaxed geometry at the SCAN level of DFT.

## Properties
For the polymorph energy (0 for the lowest one), the calculation gives 0.75 eV per formula unit. Its space group is C2/m (12). The density of states at the Fermi level comes out at 2.202 states/eV/f.u.

a b c (Å): 3.3960 5.0878 6.1329
angles (deg): 113.71 104.94 92.63
Fractional coordinates of all 4 atoms:
Li 0.0000 0.0000 0.5000
Li 0.5000 0.5000 0.5000
Hg 0.0000 0.5000 0.0000
Y 0.5000 0.0000 0.0000

---

Computed, not measured: LiYHg at its PBEsol-relaxed geometry at the SCAN level of DFT.

## Properties
For the polymorph energy (0 for the lowest one), the calculation gives 0.00 eV per formula unit. Its space group is P-6m2 (187). The density of states at the Fermi level comes out at 2.151 states/eV/f.u.

a b c (Å): 3.4044 4.7089 4.7089
angles (deg): 120.00 90.00 90.00
Fractional coordinates of all 3 atoms:
Hg 0.0000 0.0000 0.0000
Y 0.5000 0.6667 0.3333
Li 0.0000 0.3333 0.6667

---

Computed, not measured: Li2YHg2 at its PBEsol-relaxed geometry at the SCAN level of DFT.

## Properties
For the polymorph energy (0 for the lowest one), the calculation gives 0.00 eV per formula unit. Its space group is I4/mmm (139). The density of states at the Fermi level comes out at 2.223 states/eV/f.u.

a b c (Å): 3.9153 3.9153 7.3625
angles (deg): 105.42 105.42 90.00
Fractional coordinates of all 5 atoms:
Li 0.2500 0.7500 0.5000
Li 0.7500 0.2500 0.5000
Y 0.0000 0.0000 0.0000
Hg 0.3903 0.3903 0.7806
Hg 0.6097 0.6097 0.2194

---

Computed, not measured: Li2YHg at its PBEsol-relaxed geometry at the SCAN level of DFT.

## Properties
For the polymorph energy (0 for the lowest one), the calculation gives 0.59 eV per formula unit. Its space group is P4/mmm (123). The density of states at the Fermi level comes out at 2.951 states/eV/f.u.

a b c (Å): 3.5486 3.5486 6.5871
angles (deg): 90.00 90.00 90.00
Fractional coordinates of all 4 atoms:
Y 0.5000 0.5000 0.0000
Hg 0.5000 0.5000 0.5000
Li 0.0000 0.0000 0.6956
Li 0.0000 0.0000 0.3044

---

Computed, not measured: Li2YHg at its PBEsol-relaxed geometry at the SCAN level of DFT.

## Properties
For the polymorph energy (0 for the lowest one), the calculation gives 0.00 eV per formula unit. Its space group is Imm2 (44). The density of states at the Fermi level comes out at 3.085 states/eV/f.u.

a b c (Å): 4.3321 4.9055 5.0775
angles (deg): 118.89 115.25 90.00
Fractional coordinates of all 4 atoms:
Li 0.2701 0.2701 0.5402
Li 0.9958 0.4958 0.9915
Y 0.5008 0.0008 0.0016
Hg 0.7334 0.7334 0.4667

---

Computed, not measured: Li2YHg at its PBEsol-relaxed geometry at the SCAN level of DFT.

## Properties
For the polymorph energy (0 for the lowest one), the calculation gives 0.45 eV per formula unit. Its space group is Pmmm (47). The density of states at the Fermi level comes out at 3.378 states/eV/f.u.

a b c (Å): 3.5355 4.9070 5.1651
angles (deg): 90.00 90.00 90.00
Fractional coordinates of all 4 atoms:
Li 0.5000 0.5000 0.0000
Li 0.0000 0.0000 0.0000
Hg 0.0000 0.5000 0.5000
Y 0.5000 0.0000 0.5000

---

Computed, not measured: Li4YHg at its PBEsol-relaxed geometry at the SCAN level of DFT.

## Properties
The raw total energy is -17.786 eV per atom. Its space group is F-43m (216). The density of states at the Fermi level comes out at 2.967 states/eV/f.u.

a b c (Å): 5.3509 5.3509 5.3509
angles (deg): 60.00 60.00 60.00
Fractional coordinates of all 6 atoms:
Li 0.3729 0.3729 0.8814
Li 0.3729 0.3729 0.3729
Li 0.3729 0.8814 0.3729
Li 0.8814 0.3729 0.3729
Hg 0.0000 0.0000 0.0000
Y 0.7500 0.7500 0.7500

---

Computed, not measured: Li2YHg2 at its PBEsol-relaxed geometry at the SCAN level of DFT.

## Properties
For the polymorph energy (0 for the lowest one), the calculation gives 0.23 eV per formula unit. Its space group is P4/mbm (127). The density of states at the Fermi level comes out at 2.629 states/eV/f.u.

a b c (Å): 3.2092 7.7908 7.7908
angles (deg): 90.00 90.00 90.00
Fractional coordinates of all 10 atoms:
Li 0.0000 0.8856 0.6144
Li 0.0000 0.3856 0.8856
Li 0.0000 0.6144 0.1144
Li 0.0000 0.1144 0.3856
Hg 0.5000 0.1846 0.6846
Hg 0.5000 0.6846 0.8154
Hg 0.5000 0.8154 0.3154
Hg 0.5000 0.3154 0.1846
Y 0.0000 0.0000 0.0000
Y 0.0000 0.5000 0.5000

---

Computed, not measured: LiZn2Hg at its PBEsol-relaxed geometry at the SCAN level of DFT.

## Properties
The raw total energy is -24.567 eV per atom. Its space group is I4/mmm (139). The density of states at the Fermi level comes out at 0.836 states/eV/f.u.

a b c (Å): 4.2042 4.2031 4.6326
angles (deg): 116.98 116.99 90.00
Fractional coordinates of all 4 atoms:
Zn 0.7500 0.7500 0.5000
Zn 0.2500 0.2500 0.5000
Li 0.0000 0.5000 0.0000
Hg 0.5000 0.0000 0.0000

---

Computed, not measured: LiZn2Hg at its PBEsol-relaxed geometry at the SCAN level of DFT.

## Properties
The raw total energy is -24.530 eV per atom. Its space group is C2/m (12). The density of states at the Fermi level comes out at 1.165 states/eV/f.u.

a b c (Å): 3.0923 4.5913 4.8329
angles (deg): 101.26 108.66 90.00
Fractional coordinates of all 4 atoms:
Zn 0.2539 0.2636 0.5077
Zn 0.7461 0.7364 0.4923
Hg 0.5000 0.0000 0.0000
Li 0.0000 0.5000 0.0000

---

Computed, not measured: Li2ZnHg at its PBEsol-relaxed geometry at the SCAN level of DFT.

## Properties
The raw total energy is -21.995 eV per atom. Its space group is I-4m2 (119). The density of states at the Fermi level comes out at 1.124 states/eV/f.u.

a b c (Å): 4.4539 4.4635 4.4539
angles (deg): 119.93 90.00 119.93
Fractional coordinates of all 4 atoms:
Li 0.0000 0.0000 0.0000
Li 0.2500 0.5000 0.7500
Zn 0.5000 0.0000 0.5000
Hg 0.7500 0.5000 0.2500

---

Computed, not measured: LiZn2Hg at its PBEsol-relaxed geometry at the SCAN level of DFT.

## Properties
The raw total energy is -24.557 eV per atom. Its space group is P4/mmm (123). The density of states at the Fermi level comes out at 1.023 states/eV/f.u.

a b c (Å): 3.8848 3.8848 4.1795
angles (deg): 90.00 90.00 90.00
Fractional coordinates of all 4 atoms:
Zn 0.0000 0.5000 0.0000
Zn 0.5000 0.0000 0.0000
Li 0.0000 0.0000 0.5000
Hg 0.5000 0.5000 0.5000